Entry 1:
Here is MgP2Pb after structural relaxation from Alexandria. Energies are from GGA-PBE.

Total energy, eV/atom: -3.80
DFT formation energy, eV per atom: 0.23

Cell: 4.8193 4.8285 3.5526 Å, 90.00 90.00 90.00°
Positions (direct):
Mg  0.0000  0.5000  0.5000
P  0.0000  0.0000  0.0000
P  0.5000  0.5000  0.0000
Pb  0.5000  0.0000  0.5000

***

Entry 2:
Here is Fe2BPb after structural relaxation from Alexandria. Energies are from GGA-PBE.

Total energy, eV/atom: -6.09
Distance to the lowest polymorph of the same formula, meV per atom: 0.0
DFT formation energy, eV per atom: 0.74

Cell: 4.3161 4.3161 7.3181 Å, 72.85 72.85 90.00°
Positions (direct):
Pb  0.0000  0.0000  0.0000
Pb  0.7500  0.2500  0.5000
B  0.5000  0.5000  0.0000
B  0.2500  0.7500  0.5000
Fe  0.4205  0.1250  0.2500
Fe  0.3295  0.6250  0.2500
Fe  0.3750  0.5795  0.7500
Fe  0.8750  0.6705  0.7500

***

Entry 3:
Here is RuPbCl3 after structural relaxation from Alexandria. Energies are from GGA-PBE.

Formation energy without anion corrections, eV per atom: -0.19
Total energy, eV/atom: -3.90
Distance to the lowest polymorph of the same formula, meV per atom: 0.0

Cell: 4.8385 4.8385 4.8385 Å, 90.00 90.00 90.00°
Positions (direct):
Pb  0.5000  0.5000  0.5000
Ru  0.0000  0.0000  0.0000
Cl  0.0000  0.5000  0.0000
Cl  0.0000  0.0000  0.5000
Cl  0.5000  0.0000  0.0000

***

Entry 4:
Here is HoTm3S6 after structural relaxation from Alexandria. Energies are from GGA-PBE.

Formation energy without anion corrections, eV per atom: -2.07
Total energy, eV/atom: -6.34
Distance to the lowest polymorph of the same formula, meV per atom: 0.0

Cell: 3.8985 10.9153 11.1731 Å, 108.86 90.00 90.00°
Positions (direct):
Ho  0.7500  0.0445  0.6913
Ho  0.2500  0.9555  0.3087
Tm  0.7500  0.4339  0.8319
Tm  0.2500  0.5661  0.1681
Tm  0.7500  0.6823  0.5025
Tm  0.2500  0.3177  0.4975
Tm  0.7500  0.1606  0.0842
Tm  0.2500  0.8394  0.9158
S  0.7500  0.4772  0.6128
S  0.2500  0.5228  0.3872
S  0.7500  0.9183  0.0975
S  0.2500  0.0817  0.9025
S  0.7500  0.3972  0.0626
S  0.2500  0.6028  0.9374
S  0.7500  0.7440  0.2760
S  0.2500  0.2560  0.7240
S  0.7500  0.1117  0.4632
S  0.2500  0.8883  0.5368
S  0.7500  0.8076  0.7506
S  0.2500  0.1924  0.2494

***

Entry 5:
Here is BeP2Ru after structural relaxation from Alexandria. Energies are from GGA-PBE.

Total energy, eV/atom: -5.88
DFT formation energy, eV per atom: 0.07

Cell: 4.4521 4.4521 4.4521 Å, 137.80 121.54 74.70°
Positions (direct):
Ru  0.2500  0.7500  0.5000
Be  0.7500  0.2500  0.5000
P  0.9653  0.9653  0.0000
P  0.5347  0.5347  0.0000

***

Entry 6:
Here is LiFe5Rh6 after structural relaxation from Alexandria. Energies are from GGA-PBE.

Total energy, eV/atom: -7.46
DFT formation energy, eV per atom: -0.10

Cell: 4.2460 7.3482 7.3482 Å, 120.17 106.77 106.77°
Positions (direct):
Rh  0.2499  0.0820  0.4177
Rh  0.7501  0.5823  0.9180
Rh  0.7492  0.2492  0.2492
Rh  0.2508  0.7508  0.7508
Rh  0.2499  0.4177  0.0820
Rh  0.7501  0.9180  0.5823
Fe  0.5000  0.1657  0.8343
Fe  0.0000  0.3352  0.6648
Fe  0.5000  0.5000  0.5000
Fe  0.0000  0.6648  0.3352
Fe  0.5000  0.8343  0.1657
Li  0.0000  0.0000  0.0000

***

Entry 7:
Here is KPaNi2S4 after structural relaxation from Alexandria. Energies are from GGA-PBE.

Formation energy without anion corrections, eV per atom: -0.80
Total energy, eV/atom: -5.64

Cell: 6.3632 5.9539 5.9539 Å, 64.74 57.70 57.70°
Positions (direct):
K  0.0000  0.0000  0.0000
Pa  0.5000  0.5000  0.5000
Ni  0.2474  0.2526  0.2526
Ni  0.7526  0.7474  0.7474
S  0.4904  0.0582  0.5100
S  0.0587  0.9418  0.4900
S  0.9413  0.5100  0.0582
S  0.5096  0.4900  0.9418

***

Entry 8:
Here is PuBiPbO after structural relaxation from Alexandria. Energies are from GGA-PBE.

Formation energy without anion corrections, eV per atom: -1.09
Total energy, eV/atom: -7.81

Cell: 3.3364 3.3364 9.2248 Å, 100.42 100.42 90.00°
Positions (direct):
Pu  0.8888  0.8888  0.7776
Bi  0.5480  0.5480  0.0961
Pb  0.2093  0.2093  0.4186
O  0.3659  0.3659  0.7319

***

Entry 9:
Here is Cd2Cu2Hg after structural relaxation from Alexandria. Energies are from GGA-PBE.

Total energy, eV/atom: -1.89
Distance to the lowest polymorph of the same formula, meV per atom: 93.2
DFT formation energy, eV per atom: 0.18

Cell: 7.5842 7.5842 3.2230 Å, 90.00 90.00 90.00°
Positions (direct):
Hg  0.0000  0.0000  0.0000
Hg  0.5000  0.5000  0.0000
Cu  0.1477  0.6477  0.5000
Cu  0.6477  0.8523  0.5000
Cu  0.8523  0.3523  0.5000
Cu  0.3523  0.1477  0.5000
Cd  0.3537  0.8537  0.0000
Cd  0.8537  0.6463  0.0000
Cd  0.6463  0.1463  0.0000
Cd  0.1463  0.3537  0.0000